Entry 1:
Computed, not measured: crystalline CePr3Sb4 at its relaxed geometry at the GGA-PBE level of DFT.

Cell: 7.869 7.869 4.539 Å, 90.00 90.00 109.37°
Positions (direct):
Ce 0.000 0.000 0.000
Pr 0.000 0.500 0.500
Pr 0.500 0.000 0.500
Pr 0.500 0.500 0.000
Sb 0.246 0.246 0.500
Sb 0.248 0.752 0.000
Sb 0.752 0.248 0.000
Sb 0.754 0.754 0.500

Space group = Cmmm, No. 65
VASP energy = -5.753 eV/atom
Volume = 33.15 A^3/atom
Uncorrected formation energy = -1.1579 eV/atom



Entry 2:
Computed, not measured: crystalline CePr2Sb4 at its relaxed geometry at the GGA-PBE level of DFT.

Cell: 4.369 4.369 12.098 Å, 90.00 90.00 90.00°
Positions (direct):
Ce 0.000 0.000 0.000
Pr 0.000 0.500 0.707
Pr 0.500 0.000 0.293
Sb 0.000 0.000 0.500
Sb 0.000 0.500 0.186
Sb 0.500 0.000 0.814
Sb 0.500 0.500 0.500

Space group = P-4m2, No. 115
VASP energy = -5.387 eV/atom
Volume = 32.99 A^3/atom
Uncorrected formation energy = -0.8177 eV/atom



Entry 3:
Computed, not measured: crystalline Ce3Pr5Sb8 at its relaxed geometry at the GGA-PBE level of DFT.

Cell: 9.072 9.072 9.072 Å, 59.97 59.97 59.97°
Positions (direct):
Ce 0.000 0.500 0.500
Ce 0.500 0.000 0.500
Ce 0.500 0.500 0.000
Pr 0.000 0.000 0.000
Pr 0.000 0.000 0.500
Pr 0.000 0.500 0.000
Pr 0.500 0.000 0.000
Pr 0.500 0.500 0.500
Sb 0.250 0.250 0.746
Sb 0.250 0.746 0.250
Sb 0.252 0.252 0.252
Sb 0.254 0.750 0.750
Sb 0.746 0.250 0.250
Sb 0.748 0.748 0.748
Sb 0.750 0.254 0.750
Sb 0.750 0.750 0.254

Space group = R-3m, No. 166
VASP energy = -5.807 eV/atom
Volume = 32.98 A^3/atom
Uncorrected formation energy = -1.1397 eV/atom



Entry 4:
Computed, not measured: crystalline CePrSb at its relaxed geometry at the GGA-PBE level of DFT.

Cell: 4.466 4.466 9.047 Å, 90.51 90.51 90.03°
Positions (direct):
Ce 0.227 0.773 0.000
Ce 0.773 0.227 0.000
Pr 0.249 0.249 0.360
Pr 0.751 0.751 0.640
Sb 0.254 0.254 0.725
Sb 0.746 0.746 0.275

Space group = C2/m, No. 12
VASP energy = -5.771 eV/atom
Volume = 30.07 A^3/atom
Uncorrected formation energy = -0.8257 eV/atom



Entry 5:
Computed, not measured: crystalline CePr2Sb at its relaxed geometry at the GGA-PBE level of DFT.

Cell: 5.528 5.528 5.528 Å, 60.00 60.00 60.00°
Positions (direct):
Ce 0.000 0.000 0.000
Pr 0.250 0.250 0.250
Pr 0.750 0.750 0.750
Sb 0.500 0.500 0.500

Space group = Fm-3m, No. 225
VASP energy = -5.174 eV/atom
Volume = 29.87 A^3/atom
Energy above the most stable polymorph in this dataset = 0.250 eV/atom
Uncorrected formation energy = -0.2698 eV/atom



Entry 6:
Computed, not measured: crystalline Ce3PrSb4 at its relaxed geometry at the GGA-PBE level of DFT.

Cell: 6.389 6.389 6.389 Å, 90.00 90.00 90.00°
Positions (direct):
Ce 0.000 0.000 0.500
Ce 0.000 0.500 0.000
Ce 0.500 0.000 0.000
Pr 0.500 0.500 0.500
Sb 0.000 0.000 0.000
Sb 0.000 0.500 0.500
Sb 0.500 0.000 0.500
Sb 0.500 0.500 0.000

Space group = Pm-3m, No. 221
VASP energy = -5.960 eV/atom
Volume = 32.60 A^3/atom
Energy above the most stable polymorph in this dataset = 0.003 eV/atom
Uncorrected formation energy = -1.0763 eV/atom



Entry 7:
Computed, not measured: crystalline Ce5PrSb5 at its relaxed geometry at the GGA-PBE level of DFT.

Cell: 7.746 7.746 8.976 Å, 106.78 106.78 48.39°
Positions (direct):
Ce 0.000 0.000 0.000
Ce 0.333 0.333 0.665
Ce 0.334 0.334 0.167
Ce 0.666 0.666 0.833
Ce 0.667 0.667 0.335
Pr 0.000 0.000 0.500
Sb 0.168 0.168 0.837
Sb 0.169 0.169 0.331
Sb 0.500 0.500 0.500
Sb 0.831 0.831 0.669
Sb 0.832 0.832 0.163

Space group = C2/m, No. 12
VASP energy = -5.854 eV/atom
Volume = 34.72 A^3/atom
Uncorrected formation energy = -0.8481 eV/atom



Entry 8:
Computed, not measured: crystalline CePr2Sb3 at its relaxed geometry at the GGA-PBE level of DFT.

Cell: 7.868 7.868 7.868 Å, 146.52 131.89 59.88°
Positions (direct):
Ce 0.000 0.000 0.000
Pr 0.333 0.333 0.000
Pr 0.667 0.667 0.000
Sb 0.163 0.663 0.500
Sb 0.500 0.000 0.500
Sb 0.837 0.337 0.500

Space group = Immm, No. 71
VASP energy = -5.790 eV/atom
Volume = 33.03 A^3/atom
Uncorrected formation energy = -1.1470 eV/atom